Computed, not measured: an optimized crystal structure of Hf2MnMoH at the PBE level of DFT.

Energy ... -8.793 eV/atom
Magnetic moment ... 1.214 μB per cell

a b c (Å): 4.5930 4.5930 3.3650
angles (deg): 90.00 90.00 90.00
With the nearest neighbours (Å) after each atom.
Space group P4/mmm (No. 123)
One atom of each set of equivalent atoms:
Hf1 0.0000 0.5000 0.0000 [2 per cell]  2 H 2.30
Mn1 0.0000 0.0000 0.5000 [1 per cell]  2 H 1.68
Mo1 0.5000 0.5000 0.5000 [1 per cell]  8 Hf 2.85
H1 0.0000 0.0000 0.0000 [1 per cell]  2 Mn 1.68